Computed, not measured: a PBEsol-optimized structure of SnPWS2 at the SCAN level of DFT.

Computed properties:
uncorrected formation energy: 1.60 eV/atom
VASP energy: -127.26 eV per formula unit
DOS at the Fermi energy: 0.464 states/eV per atom

abc: 4.7835 4.7835 4.8767
angles: 90.00 90.00 90.00
Closest atoms and distances in Å follow each position.
Atoms (fractional coordinates):
P (0.0000, 0.0000, 0.5000)  2 Sn 2.44
S (0.5000, 0.0000, 0.0000)  2 Sn 2.39
S (0.0000, 0.5000, 0.0000)  2 Sn 2.39
Sn (0.0000, 0.0000, 0.0000)  4 S 2.39, 2 P 2.44
W (0.5000, 0.5000, 0.5000)  4 P 3.38, 8 S 3.42

Computed, not measured: a PBEsol-optimized structure of ZrSnP2S at the SCAN level of DFT.

Computed properties:
uncorrected formation energy: -0.02 eV/atom
VASP energy: -97.15 eV per formula unit
DOS at the Fermi energy: 0.785 states/eV per atom

abc: 4.8592 4.9934 4.9934
angles: 90.00 90.00 90.00
Closest atoms and distances in Å follow each position.
Atoms (fractional coordinates):
S (0.5000, 0.0000, 0.0000)  2 Zr 2.43
P (0.0000, 0.5000, 0.0000)  2 Zr 2.50
P (0.0000, 0.0000, 0.5000)  2 Zr 2.50
Sn (0.5000, 0.5000, 0.5000)  8 P 3.48, 4 S 3.53
Zr (0.0000, 0.0000, 0.0000)  2 S 2.43, 4 P 2.50

Computed, not measured: a PBEsol-optimized structure of SrTiP2S at the SCAN level of DFT.

Computed properties:
uncorrected formation energy: -0.94 eV/atom
VASP energy: -73.42 eV per formula unit
DOS at the Fermi energy: 0.543 states/eV per atom

abc: 4.6726 4.6726 4.8474
angles: 90.00 90.00 90.00
Closest atoms and distances in Å follow each position.
Atoms (fractional coordinates):
Ti (0.0000, 0.0000, 0.0000)  4 P 2.34, 2 S 2.42
P (0.0000, 0.5000, 0.0000)  2 Ti 2.34
P (0.5000, 0.0000, 0.0000)  2 Ti 2.34
Sr (0.5000, 0.5000, 0.5000)  4 S 3.30, 8 P 3.37
S (0.0000, 0.0000, 0.5000)  2 Ti 2.42

Computed, not measured: a PBEsol-optimized structure of TaTlPS2 at the SCAN level of DFT.

Computed properties:
uncorrected formation energy: -0.35 eV/atom
VASP energy: -170.33 eV per formula unit
DOS at the Fermi energy: 0.594 states/eV per atom

abc: 4.7647 4.7647 4.9091
angles: 90.00 90.00 90.00
Closest atoms and distances in Å follow each position.
Atoms (fractional coordinates):
Tl (0.5000, 0.5000, 0.5000)  4 P 3.37, 8 S 3.42
P (0.0000, 0.0000, 0.5000)  2 Ta 2.45
Ta (0.0000, 0.0000, 0.0000)  4 S 2.38, 2 P 2.45
S (0.0000, 0.5000, 0.0000)  2 Ta 2.38
S (0.5000, 0.0000, 0.0000)  2 Ta 2.38

Computed, not measured: a PBEsol-optimized structure of TbPS at the SCAN level of DFT.

Computed properties:
uncorrected formation energy: -1.71 eV/atom
VASP energy: -71.92 eV per formula unit
DOS at the Fermi energy: 0.028 states/eV per atom

abc: 3.6230 6.9136 9.1038
angles: 90.00 90.00 90.00
Closest atoms and distances in Å follow each position.
Atoms (fractional coordinates):
Tb (0.2500, 0.7063, 0.8406)  5 S 2.76-2.96, 4 P 2.87-2.91
Tb (0.7500, 0.7937, 0.3406)  5 S 2.76-2.96, 4 P 2.87-2.91
Tb (0.7500, 0.2937, 0.1594)  5 S 2.76-2.96, 4 P 2.87-2.91
Tb (0.2500, 0.2063, 0.6594)  5 S 2.76-2.96, 4 P 2.87-2.91
P (0.2500, 0.5905, 0.5384)  2 P 2.31
P (0.7500, 0.9095, 0.0384)  2 P 2.31
P (0.7500, 0.4095, 0.4616)  2 P 2.31
P (0.2500, 0.0905, 0.9616)  2 P 2.31
S (0.2500, 0.5945, 0.1543)  5 Tb 2.76-2.96, 2 P 3.02
S (0.7500, 0.9055, 0.6543)  5 Tb 2.76-2.96, 2 P 3.02
S (0.2500, 0.0945, 0.3457)  5 Tb 2.76-2.96, 2 P 3.02
S (0.7500, 0.4055, 0.8457)  5 Tb 2.76-2.96, 2 P 3.02

Computed, not measured: a PBEsol-optimized structure of TcTeP2S at the SCAN level of DFT.

Computed properties:
uncorrected formation energy: 0.43 eV/atom
VASP energy: -100.59 eV per formula unit
DOS at the Fermi energy: 0.489 states/eV per atom

abc: 4.3784 4.7043 4.7043
angles: 90.00 90.00 90.00
Closest atoms and distances in Å follow each position.
Atoms (fractional coordinates):
Tc (0.0000, 0.0000, 0.0000)  2 S 2.19, 4 P 2.35
P (0.0000, 0.0000, 0.5000)  2 Tc 2.35
P (0.0000, 0.5000, 0.0000)  2 Tc 2.35
S (0.5000, 0.0000, 0.0000)  2 Tc 2.19
Te (0.5000, 0.5000, 0.5000)  8 P 3.21, 4 S 3.33

Computed, not measured: a PBEsol-optimized structure of TiTcPS2 at the SCAN level of DFT.

Computed properties:
uncorrected formation energy: 0.27 eV/atom
VASP energy: -79.37 eV per formula unit
DOS at the Fermi energy: 0.628 states/eV per atom

abc: 4.5318 4.5532 4.5532
angles: 90.00 90.00 90.00
Closest atoms and distances in Å follow each position.
Atoms (fractional coordinates):
S (0.0000, 0.0000, 0.5000)  2 Tc 2.28
S (0.0000, 0.5000, 0.0000)  2 Tc 2.28
Tc (0.0000, 0.0000, 0.0000)  2 P 2.27, 4 S 2.28
Ti (0.5000, 0.5000, 0.5000)  8 S 3.21, 4 P 3.22
P (0.5000, 0.0000, 0.0000)  2 Tc 2.27

Computed, not measured: a PBEsol-optimized structure of ZrTcP2S at the SCAN level of DFT.

Computed properties:
uncorrected formation energy: 0.23 eV/atom
VASP energy: -95.03 eV per formula unit
DOS at the Fermi energy: 0.776 states/eV per atom

abc: 4.4191 4.4191 4.7946
angles: 90.00 90.00 90.00
Closest atoms and distances in Å follow each position.
Atoms (fractional coordinates):
P (0.0000, 0.5000, 0.0000)  2 Tc 2.21
P (0.5000, 0.0000, 0.0000)  2 Tc 2.21
S (0.0000, 0.0000, 0.5000)  2 Tc 2.40
Tc (0.0000, 0.0000, 0.0000)  4 P 2.21, 2 S 2.40
Zr (0.5000, 0.5000, 0.5000)  4 S 3.12, 8 P 3.26

Computed, not measured: a PBEsol-optimized structure of TePS2 at the SCAN level of DFT.

Computed properties:
uncorrected formation energy: 0.51 eV/atom
VASP energy: -64.87 eV per formula unit
DOS at the Fermi energy: 0.712 states/eV per atom

abc: 6.0213 6.0213 6.0213
angles: 73.73 68.91 111.09
Closest atoms and distances in Å follow each position.
Atoms (fractional coordinates):
Te (0.0000, 0.0000, 0.0000)  4 S 2.79
Te (0.5000, 0.2500, 0.2500)  4 S 2.79
S (0.9546, 0.8296, 0.6250)  2 P 2.38
S (0.4546, 0.6250, 0.4204)  2 P 2.38
S (0.5454, 0.1250, 0.8296)  2 P 2.38
S (0.0454, 0.4204, 0.1250)  2 P 2.38
P (0.0000, 0.5000, 0.5000)  4 S 2.38
P (0.5000, 0.7500, 0.7500)  4 S 2.38

Computed, not measured: a PBEsol-optimized structure of Te3PS at the SCAN level of DFT.

Computed properties:
uncorrected formation energy: 0.84 eV/atom
VASP energy: -127.57 eV per formula unit
DOS at the Fermi energy: 0.956 states/eV per atom

abc: 5.1065 5.1065 5.1065
angles: 90.00 90.00 90.00
Closest atoms and distances in Å follow each position.
Atoms (fractional coordinates):
S (0.5000, 0.5000, 0.5000)  12 Te 3.61
Te (0.0000, 0.5000, 0.0000)  2 P 2.55
Te (0.0000, 0.0000, 0.5000)  2 P 2.55
Te (0.5000, 0.0000, 0.0000)  2 P 2.55
P (0.0000, 0.0000, 0.0000)  6 Te 2.55

Computed, not measured: a PBEsol-optimized structure of TeP2WS at the SCAN level of DFT.

Computed properties:
uncorrected formation energy: 2.00 eV/atom
VASP energy: -127.34 eV per formula unit
DOS at the Fermi energy: 0.517 states/eV per atom

abc: 4.7915 4.8833 4.8833
angles: 90.00 90.00 90.00
Closest atoms and distances in Å follow each position.
Atoms (fractional coordinates):
P (0.0000, 0.5000, 0.0000)  2 Te 2.44
P (0.0000, 0.0000, 0.5000)  2 Te 2.44
W (0.5000, 0.5000, 0.5000)  8 P 3.42, 4 S 3.45
Te (0.0000, 0.0000, 0.0000)  2 S 2.40, 4 P 2.44
S (0.5000, 0.0000, 0.0000)  2 Te 2.40

Computed, not measured: a PBEsol-optimized structure of TePWS2 at the SCAN level of DFT.

Computed properties:
uncorrected formation energy: 0.36 eV/atom
E above lowest polymorph: 0.0 meV per atom
VASP energy: -134.78 eV per formula unit
DOS at the Fermi energy: 0.918 states/eV per atom

abc: 4.5414 4.5414 4.9577
angles: 90.00 90.00 90.00
Closest atoms and distances in Å follow each position.
Atoms (fractional coordinates):
Te (0.5000, 0.5000, 0.5000)  4 P 3.21, 8 S 3.36
S (0.5000, 0.0000, 0.0000)  2 W 2.27
S (0.0000, 0.5000, 0.0000)  2 W 2.27
P (0.0000, 0.0000, 0.5000)  2 W 2.48
W (0.0000, 0.0000, 0.0000)  4 S 2.27, 2 P 2.48

Q: The highest DOS at the Fermi energy belongs to which entry?
A: Te3PS

Q: Among the records above, which one has the highest DOS at the Fermi energy?
A: Te3PS

Q: Among the records above, which one has the highest VASP energy?
A: TePS2

Q: Look up the DOS at the Fermi energy of the eighth one.
A: 0.776 states/eV per atom